# Nd2Sm2CI3Br2 | OQMD | PBE | optimized geometry
# energy above the most stable polymorph in this dataset = 0.0 meV/atom
# total moment = 0.32 Bohr magnetons per cell
# space-group type = C2/m (12)
data_Nd2Sm2CI3Br2
_chemical_formula_sum 'Nd2 Sm2 C1 I3 Br2'
_space_group_name_H-M_alt 'P 1'
_space_group_IT_number 1
_cell_length_a 9.711
_cell_length_b 9.711
_cell_length_c 8.796
_cell_angle_alpha 102.43
_cell_angle_beta 102.43
_cell_angle_gamma 24.02
loop_
_space_group_symop_operation_xyz
'x,y,z'
loop_
_atom_site_label
_atom_site_type_symbol
_atom_site_fract_x
_atom_site_fract_y
_atom_site_fract_z
C1 C 0.500 0.500 0.000
Sm1 Sm 0.366 0.366 0.931
I1 I 0.172 0.172 0.822
Sm2 Sm 0.634 0.634 0.069
Nd1 Nd 0.000 0.000 0.804
Br1 Br 0.160 0.160 0.319
I2 I 0.500 0.500 0.500
Br2 Br 0.840 0.840 0.681
I3 I 0.828 0.828 0.178
Nd2 Nd 0.000 0.000 0.196

=====

# Nb3BiCN | OQMD | PBE | optimized geometry
# total moment = 0.01 Bohr magnetons per cell
# space-group type = P-3m1 (164)
# total energy = -108.010 eV per cell
data_Nb3BiCN
_chemical_formula_sum 'Nb6 Bi2 C2 N2'
_space_group_name_H-M_alt 'P 1'
_space_group_IT_number 1
_cell_length_a 3.269
_cell_length_b 3.269
_cell_length_c 19.286
_cell_angle_alpha 90.00
_cell_angle_beta 90.00
_cell_angle_gamma 120.00
loop_
_space_group_symop_operation_xyz
'x,y,z'
loop_
_atom_site_label
_atom_site_type_symbol
_atom_site_fract_x
_atom_site_fract_y
_atom_site_fract_z
C1 C 0.667 0.333 0.931
Nb1 Nb 0.667 0.333 0.125
Bi1 Bi 0.000 0.000 0.252
Nb2 Nb 0.000 0.000 0.500
N1 N 0.667 0.333 0.565
Nb3 Nb 0.667 0.333 0.377
N2 N 0.333 0.667 0.435
Nb4 Nb 0.333 0.667 0.875
C2 C 0.333 0.667 0.069
Nb5 Nb 0.000 0.000 0.000
Nb6 Nb 0.333 0.667 0.623
Bi2 Bi 0.000 0.000 0.748

=====

# ZrAlCdFe | OQMD | PBE | optimized geometry
# energy above the most stable polymorph in this dataset = 0.0 meV/atom
# total moment = 1.34 Bohr magnetons per cell
# space-group type = F-43m (216)
data_ZrAlCdFe
_chemical_formula_sum 'Zr1 Al1 Cd1 Fe1'
_space_group_name_H-M_alt 'P 1'
_space_group_IT_number 1
_cell_length_a 4.599
_cell_length_b 4.599
_cell_length_c 4.599
_cell_angle_alpha 60.00
_cell_angle_beta 60.00
_cell_angle_gamma 60.00
loop_
_space_group_symop_operation_xyz
'x,y,z'
loop_
_atom_site_label
_atom_site_type_symbol
_atom_site_fract_x
_atom_site_fract_y
_atom_site_fract_z
Al1 Al 0.000 0.000 0.000
Cd1 Cd 0.250 0.250 0.250
Zr1 Zr 0.500 0.500 0.500
Fe1 Fe 0.750 0.750 0.750

=====

# Sc2Al4IrPt | OQMD | PBE | optimized geometry
# total moment = 0.04 Bohr magnetons per cell
# space-group type = Amm2 (38)
# total energy = -49.816 eV per cell
data_Sc2Al4IrPt
_chemical_formula_sum 'Sc2 Al4 Ir1 Pt1'
_space_group_name_H-M_alt 'P 1'
_space_group_IT_number 1
_cell_length_a 6.891
_cell_length_b 5.288
_cell_length_c 5.288
_cell_angle_alpha 46.49
_cell_angle_beta 90.00
_cell_angle_gamma 90.00
loop_
_space_group_symop_operation_xyz
'x,y,z'
loop_
_atom_site_label
_atom_site_type_symbol
_atom_site_fract_x
_atom_site_fract_y
_atom_site_fract_z
Sc1 Sc 0.500 0.926 0.926
Al1 Al 0.803 0.359 0.359
Al2 Al 0.701 0.641 0.641
Ir1 Ir 0.000 0.791 0.791
Al3 Al 0.299 0.641 0.641
Pt1 Pt 0.500 0.209 0.209
Sc2 Sc 0.000 0.072 0.072
Al4 Al 0.197 0.359 0.359

=====

# Ta4CoCuC2 | OQMD | PBE | optimized geometry
# total moment = 0.68 Bohr magnetons per cell
# space-group type = P-6m2 (187)
# total energy = -78.782 eV per cell
data_Ta4CoCuC2
_chemical_formula_sum 'Ta4 Co1 Cu1 C2'
_space_group_name_H-M_alt 'P 1'
_space_group_IT_number 1
_cell_length_a 3.095
_cell_length_b 3.095
_cell_length_c 13.170
_cell_angle_alpha 90.00
_cell_angle_beta 90.00
_cell_angle_gamma 120.00
loop_
_space_group_symop_operation_xyz
'x,y,z'
loop_
_atom_site_label
_atom_site_type_symbol
_atom_site_fract_x
_atom_site_fract_y
_atom_site_fract_z
Ta1 Ta 0.667 0.333 0.351
Cu1 Cu 0.667 0.333 0.000
Ta2 Ta 0.333 0.667 0.161
Ta3 Ta 0.333 0.667 0.839
C1 C 0.000 0.000 0.255
Co1 Co 0.333 0.667 0.500
C2 C 0.000 0.000 0.745
Ta4 Ta 0.667 0.333 0.649

=====

# LiLu2Hf | OQMD | PBE | optimized geometry
# total moment = 0.10 Bohr magnetons per cell
# space-group type = F-43m (216)
# total energy = -19.483 eV per cell
data_LiLu2Hf
_chemical_formula_sum 'Li1 Lu2 Hf1'
_space_group_name_H-M_alt 'P 1'
_space_group_IT_number 1
_cell_length_a 5.135
_cell_length_b 5.135
_cell_length_c 5.135
_cell_angle_alpha 60.00
_cell_angle_beta 60.00
_cell_angle_gamma 60.00
loop_
_space_group_symop_operation_xyz
'x,y,z'
loop_
_atom_site_label
_atom_site_type_symbol
_atom_site_fract_x
_atom_site_fract_y
_atom_site_fract_z
Lu1 Lu 0.750 0.750 0.750
Li1 Li 0.500 0.500 0.500
Hf1 Hf 0.250 0.250 0.250
Lu2 Lu 0.000 0.000 0.000

=====

# YTlAuSe3 | OQMD | PBE | optimized geometry
# energy above the most stable polymorph in this dataset = 0.0 meV/atom
# total moment = 0.01 Bohr magnetons per cell
# space-group type = Cmcm (63)
data_YTlAuSe3
_chemical_formula_sum 'Y2 Tl2 Au2 Se6'
_space_group_name_H-M_alt 'P 1'
_space_group_IT_number 1
_cell_length_a 7.575
_cell_length_b 7.575
_cell_length_c 10.777
_cell_angle_alpha 90.00
_cell_angle_beta 90.00
_cell_angle_gamma 149.22
loop_
_space_group_symop_operation_xyz
'x,y,z'
loop_
_atom_site_label
_atom_site_type_symbol
_atom_site_fract_x
_atom_site_fract_y
_atom_site_fract_z
Tl1 Tl 0.241 0.759 0.250
Y1 Y 0.000 0.000 0.000
Au1 Au 0.535 0.465 0.250
Se1 Se 0.636 0.364 0.450
Y2 Y 0.000 0.000 0.500
Se2 Se 0.636 0.364 0.050
Au2 Au 0.465 0.535 0.750
Se3 Se 0.080 0.920 0.750
Se4 Se 0.364 0.636 0.950
Se5 Se 0.920 0.080 0.250
Tl2 Tl 0.759 0.241 0.750
Se6 Se 0.364 0.636 0.550

=====

# FeBi4Os | OQMD | PBE | optimized geometry
# total moment = 1.30 Bohr magnetons per cell
# space-group type = P2/m (10)
# total energy = -33.704 eV per cell
data_FeBi4Os
_chemical_formula_sum 'Fe1 Bi4 Os1'
_space_group_name_H-M_alt 'P 1'
_space_group_IT_number 1
_cell_length_a 6.167
_cell_length_b 3.415
_cell_length_c 6.955
_cell_angle_alpha 90.00
_cell_angle_beta 90.45
_cell_angle_gamma 90.00
loop_
_space_group_symop_operation_xyz
'x,y,z'
loop_
_atom_site_label
_atom_site_type_symbol
_atom_site_fract_x
_atom_site_fract_y
_atom_site_fract_z
Bi1 Bi 0.312 0.000 0.350
Bi2 Bi 0.801 0.500 0.143
Fe1 Fe 0.500 0.000 0.000
Bi3 Bi 0.199 0.500 0.857
Bi4 Bi 0.688 0.000 0.650
Os1 Os 0.000 0.500 0.500